Record 1
Density functional theory data (PBE+U) for a relaxed Li2ZnCrF8 crystal.

The space group is Cmmm (No. 65) and the conventional cell measures 6.428, 6.772 and 6.319 Å, with angles of 90.00, 90.00 and 90.00 degrees. The asymmetric unit holds Li at (0.000, 0.000, 0.233), Zn at (0.000, 0.500, 0.000), Cr at (0.000, 0.500, 0.500), F at (0.000, 0.309, 0.283), F at (0.204, 0.000, 0.000) and F at (0.215, 0.000, 0.500).

The total energy is -4.845 eV per atom.



Record 2
Density functional theory data (PBE+U) for a relaxed MgCr4F12 crystal.

The space group is Immm (No. 71) and the conventional cell measures 7.504, 7.746 and 8.009 Å, with angles of 90.00, 90.00 and 90.00 degrees. The asymmetric unit holds Mg at (0.000, 0.000, 0.000), Cr at (0.250, 0.250, 0.250), F at (0.000, 0.310, 0.295), F at (0.179, 0.000, 0.263) and F at (0.179, 0.201, 0.000).

The total energy is -5.921 eV per atom.



Record 3
Density functional theory data (PBE+U) for a relaxed MgCrF3 crystal.

The space group is Pm-3m (No. 221) and the conventional cell measures 4.183, 4.183 and 4.183 Å, with angles of 90.00, 90.00 and 90.00 degrees. The asymmetric unit holds Mg at (0.000, 0.000, 0.000), Cr at (0.500, 0.500, 0.500) and F at (0.000, 0.500, 0.500).

The total energy is -4.949 eV per atom.



Record 4
Density functional theory data (PBE+U) for a relaxed MgCrF2 crystal.

The space group is Fm-3m (No. 225) and the conventional cell measures 6.047, 6.047 and 6.047 Å, with angles of 90.00, 90.00 and 90.00 degrees. The asymmetric unit holds Mg at (0.000, 0.000, 0.000), Cr at (0.000, 0.000, 0.500) and F at (0.250, 0.250, 0.250).

The total energy is -4.633 eV per atom.



Record 5
Density functional theory data (PBE+U) for a relaxed MgCrF3 crystal.

The space group is Pm-3m (No. 221) and the conventional cell measures 3.971, 3.971 and 3.971 Å, with angles of 90.00, 90.00 and 90.00 degrees. The asymmetric unit holds Mg at (0.000, 0.000, 0.000), Cr at (0.500, 0.500, 0.500) and F at (0.000, 0.000, 0.500).

The total energy is -5.505 eV per atom.



Record 6
Density functional theory data (PBE+U) for a relaxed MgCr3F crystal.

The space group is Pm-3m (No. 221) and the conventional cell measures 4.596, 4.596 and 4.596 Å, with angles of 90.00, 90.00 and 90.00 degrees. The asymmetric unit holds Mg at (0.000, 0.000, 0.000), Cr at (0.000, 0.500, 0.500) and F at (0.500, 0.500, 0.500).

The total energy is -5.183 eV per atom.



Record 7
Density functional theory data (PBE+U) for a relaxed MgCrF2 crystal.

The space group is I-42d (No. 122) and the conventional cell measures 5.561, 5.561 and 9.472 Å, with angles of 90.00, 90.00 and 90.00 degrees. The asymmetric unit holds Mg at (0.000, 0.000, 0.000), Cr at (0.000, 0.000, 0.500) and F at (0.103, 0.250, 0.125).

The total energy is -5.141 eV per atom.



Record 8
Density functional theory data (PBE+U) for a relaxed MgCr3F crystal.

The space group is Pm-3m (No. 221) and the conventional cell measures 5.209, 5.209 and 5.209 Å, with angles of 90.00, 90.00 and 90.00 degrees. The asymmetric unit holds Mg at (0.000, 0.000, 0.000), Cr at (0.000, 0.000, 0.500) and F at (0.500, 0.500, 0.500).

The total energy is -4.301 eV per atom.



Record 9
Density functional theory data (PBE+U) for a relaxed MgCr2F6 crystal.

The space group is P2_1/c (No. 14) and the conventional cell measures 5.402, 4.904 and 10.323 Å, with angles of 90.00, 117.01 and 90.00 degrees. The asymmetric unit holds Mg at (0.000, 0.000, 0.000), Cr at (0.314, 0.035, 0.815), F at (0.016, 0.242, 0.848), F at (0.291, 0.699, 0.473) and F at (0.339, 0.187, 0.172).

The total energy is -5.933 eV per atom.



Record 10
Density functional theory data (PBE+U) for a relaxed MgCrF2 crystal.

The space group is R-3m (No. 166, hexagonal axes) and the conventional cell measures 3.5462, 3.5462 and 18.2343 Å, with angles of 90.00, 90.00 and 120.00 degrees. The asymmetric unit holds Mg at (0.0000, 0.0000, 0.0000), Cr at (0.0000, 0.0000, 0.5000) and F at (0.0000, 0.0000, 0.1101).

The total energy is -4.928 eV per atom.



Record 11
Density functional theory data (PBE+U) for a relaxed MgCrF2 crystal.

The space group is R-3m (No. 166, hexagonal axes) and the conventional cell measures 3.1063, 3.1063 and 24.6970 Å, with angles of 90.00, 90.00 and 120.00 degrees. The asymmetric unit holds Mg at (0.0000, 0.0000, 0.0000), Cr at (0.0000, 0.0000, 0.5000) and F at (0.0000, 0.0000, 0.3714).

The total energy is -5.365 eV per atom.



Record 12
Density functional theory data (PBE+U) for a relaxed MgMnCr2F6 crystal.

The space group is P-1 (No. 2) and the conventional cell measures 5.669, 5.671 and 5.682 Å, with angles of 90.98, 119.20 and 119.58 degrees. The asymmetric unit holds Mg at (0.000, 0.000, 0.000), Mn at (0.000, 0.500, 0.500), Cr at (0.494, 0.249, 0.753), F at (0.003, 0.825, 0.308), F at (0.118, 0.360, 0.240) and F at (0.483, 0.173, 0.182).

The total energy is -5.870 eV per atom.



Record 13
Density functional theory data (PBE+U) for a relaxed MgCrMoF6 crystal.

The space group is P-31c (No. 163) and the conventional cell measures 5.1876, 5.1876 and 9.7102 Å, with angles of 90.00, 90.00 and 120.00 degrees. The asymmetric unit holds Mg at (0.0000, 0.0000, 0.0000), Cr at (0.3333, 0.6667, 0.2500), Mo at (0.3333, 0.6667, 0.7500) and F at (0.0019, 0.3166, 0.6214).

The total energy is -5.344 eV per atom.



Record 14
Density functional theory data (PBE+U) for a relaxed NaMgCr2F8 crystal.

The space group is P-3 (No. 147) and the conventional cell measures 5.8913, 5.8913 and 6.2648 Å, with angles of 90.00, 90.00 and 120.00 degrees. The asymmetric unit holds Na at (0.0000, 0.0000, 0.0000), Mg at (0.0000, 0.0000, 0.5000), Cr at (0.3333, 0.6667, 0.7853), F at (0.1367, 0.2978, 0.7025) and F at (0.3333, 0.6667, 0.0806).

The total energy is -5.350 eV per atom.



Record 15
Density functional theory data (PBE+U) for a relaxed MgCr2OF crystal.

The space group is P4/mmm (No. 123) and the conventional cell measures 4.536, 4.536 and 4.011 Å, with angles of 90.00, 90.00 and 90.00 degrees. The asymmetric unit holds Mg at (0.000, 0.000, 0.000), Cr at (0.000, 0.500, 0.500), O at (0.500, 0.500, 0.000) and F at (0.000, 0.000, 0.500).

The total energy is -4.946 eV per atom.



Record 16
Density functional theory data (PBE+U) for a relaxed MgCrOs2F crystal.

The space group is P4/mmm (No. 123) and the conventional cell measures 4.484, 4.484 and 3.538 Å, with angles of 90.00, 90.00 and 90.00 degrees. The asymmetric unit holds Mg at (0.000, 0.000, 0.000), Cr at (0.500, 0.500, 0.000), Os at (0.000, 0.500, 0.500) and F at (0.000, 0.000, 0.500).

The total energy is -5.465 eV per atom.



Record 17
Density functional theory data (PBE+U) for a relaxed MgCrOsF2 crystal.

The space group is P4/mmm (No. 123) and the conventional cell measures 3.701, 3.701 and 7.257 Å, with angles of 90.00, 90.00 and 90.00 degrees. The asymmetric unit holds Mg at (0.000, 0.000, 0.000), Cr at (0.000, 0.000, 0.500), Os at (0.500, 0.500, 0.500) and F at (0.000, 0.500, 0.000).

The total energy is -5.627 eV per atom.



Record 18
Density functional theory data (PBE+U) for a relaxed MgCr2PbF8 crystal.

The space group is P-1 (No. 2) and the conventional cell measures 4.947, 5.002 and 7.188 Å, with angles of 86.25, 86.88 and 86.35 degrees. The asymmetric unit holds Mg at (0.000, 0.000, 0.000), Cr at (0.488, 0.489, 0.773), Pb at (0.000, 0.000, 0.500), F at (0.198, 0.794, 0.212), F at (0.199, 0.796, 0.792), F at (0.286, 0.279, 0.980) and F at (0.338, 0.323, 0.457).

The total energy is -5.680 eV per atom.



Record 19
Density functional theory data (PBE+U) for a relaxed RbMgCr2F8 crystal.

The space group is P-3 (No. 147) and the conventional cell measures 5.4516, 5.4516 and 7.4156 Å, with angles of 90.00, 90.00 and 120.00 degrees. The asymmetric unit holds Rb at (0.0000, 0.0000, 0.0000), Mg at (0.0000, 0.0000, 0.5000), Cr at (0.3333, 0.6667, 0.6084), F at (0.0515, 0.7064, 0.3735) and F at (0.3333, 0.6667, 0.8613).

The total energy is -5.373 eV per atom.



Record 20
Density functional theory data (PBE+U) for a relaxed Rb2MgCrF6 crystal.

The space group is I4/mmm (No. 139) and the conventional cell measures 6.027, 6.027 and 8.216 Å, with angles of 90.00, 90.00 and 90.00 degrees. The asymmetric unit holds Rb at (0.000, 0.500, 0.250), Mg at (0.000, 0.000, 0.000), Cr at (0.000, 0.000, 0.500), F at (0.000, 0.000, 0.253) and F at (0.238, 0.238, 0.000).

The total energy is -5.195 eV per atom.



Record 21
Density functional theory data (PBE+U) for a relaxed Rb2MgCrF crystal.

The space group is P4/mmm (No. 123) and the conventional cell measures 5.543, 5.543 and 5.458 Å, with angles of 90.00, 90.00 and 90.00 degrees. The asymmetric unit holds Rb at (0.000, 0.500, 0.000), Mg at (0.000, 0.000, 0.500), Cr at (0.500, 0.500, 0.500) and F at (0.000, 0.000, 0.000).

The total energy is -3.091 eV per atom.



Record 22
Density functional theory data (PBE+U) for a relaxed RbMgCrF6 crystal.

The space group is Imma (No. 74) and the conventional cell measures 7.293, 7.365 and 10.434 Å, with angles of 90.00, 90.00 and 90.00 degrees. The asymmetric unit holds Rb at (0.000, 0.250, 0.105), Mg at (0.250, 0.250, 0.750), Cr at (0.000, 0.000, 0.500), F at (0.000, 0.250, 0.433), F at (0.000, 0.250, 0.820) and F at (0.192, 0.052, 0.622).

The total energy is -5.446 eV per atom.



Record 23
Density functional theory data (PBE+U) for a relaxed Rb3Mg2CrF9 crystal.

The space group is P-3m1 (No. 164) and the conventional cell measures 5.9043, 5.9043 and 7.2390 Å, with angles of 90.00, 90.00 and 120.00 degrees. The asymmetric unit holds Rb at (0.0000, 0.0000, 0.0000), Rb at (0.3333, 0.6667, 0.6650), Mg at (0.3333, 0.6667, 0.1604), Cr at (0.0000, 0.0000, 0.5000), F at (0.0000, 0.5000, 0.0000) and F at (0.1712, 0.3425, 0.3267).

The total energy is -5.049 eV per atom.